TlAg3As: optimized geometry, PBE.

- energy above the lowest structure with this stoichiometry (eV per atom) = 0.761
- M_tot (μB/f.u.) = 0.000
- formation energy (eV/atom) = 0.967

a b c (Å): 5.2293 5.2293 5.2293
angles (deg): 90.00 90.00 90.00
Last column: nearest neighbours and their distance in Å.
Sites, in units of the cell vectors:
Tl: 0.0000 0.0000 0.0000  6 Ag 2.61
Ag: 0.0000 0.0000 0.5000  2 Tl 2.61
Ag: 0.0000 0.5000 0.0000  2 Tl 2.61
Ag: 0.5000 0.0000 0.0000  2 Tl 2.61
As: 0.5000 0.5000 0.5000  12 Ag 3.70